1.
DFT (PBE-GGA) results for a relaxed TlCoPt crystal.

Output
calculated volume	50.6	Å³ per cell
crystal system	trigonal
calculated formation energy	0.398	eV/atom

CIF file:
```
data_TlCoPt
_symmetry_space_group_name_H-M 'P 3 m 1'
_symmetry_Int_Tables_number 156
_cell_length_a 4.4470
_cell_length_b 4.4470
_cell_length_c 2.9519
_cell_angle_alpha 90.00
_cell_angle_beta 90.00
_cell_angle_gamma 120.00
loop_
_symmetry_equiv_pos_as_xyz
'x,y,z'
'-y,x-y,z'
'-x+y,-x,z'
'-y,-x,z'
'-x+y,y,z'
'x,x-y,z'
loop_
_atom_site_label
_atom_site_type_symbol
_atom_site_fract_x
_atom_site_fract_y
_atom_site_fract_z
Tl1 Tl 0.0000 0.0000 0.0000
Co1 Co 0.6667 0.3333 0.2907
Pt1 Pt 0.3333 0.6667 0.6184
```

2.
DFT (PBE-GGA) results for a relaxed CuTe crystal.

Output
calculated volume	285.3	Å³ per cell
energy relative to the elements, uncorrected	-0.036	eV per atom
crystal system	monoclinic

CIF file:
```
data_CuTe
_symmetry_space_group_name_H-M 'C 1 m 1'
_symmetry_Int_Tables_number 8
_cell_length_a 12.050
_cell_length_b 4.119
_cell_length_c 7.126
_cell_angle_alpha 90.00
_cell_angle_beta 126.22
_cell_angle_gamma 90.00
loop_
_symmetry_equiv_pos_as_xyz
'x,y,z'
'x,-y,z'
'x+1/2,y+1/2,z'
'x+1/2,-y+1/2,z'
loop_
_atom_site_label
_atom_site_type_symbol
_atom_site_fract_x
_atom_site_fract_y
_atom_site_fract_z
Cu1 Cu 0.000 0.000 0.000
Cu2 Cu 0.140 0.500 0.249
Cu3 Cu 0.358 0.000 0.964
Te1 Te 0.000 0.500 0.781
Te2 Te 0.161 0.000 0.486
Te3 Te 0.334 0.500 0.156
```

3.
DFT (PBE-GGA) results for a relaxed TeP3 crystal.

Output
calculated volume	108.5	Å³ per cell
energy relative to the elements, uncorrected	0.323	eV per atom
crystal system	triclinic

CIF file:
```
data_TeP3
_symmetry_space_group_name_H-M 'P 1'
_symmetry_Int_Tables_number 1
_cell_length_a 4.481
_cell_length_b 4.707
_cell_length_c 5.945
_cell_angle_alpha 97.89
_cell_angle_beta 100.45
_cell_angle_gamma 114.99
loop_
_symmetry_equiv_pos_as_xyz
'x,y,z'
loop_
_atom_site_label
_atom_site_type_symbol
_atom_site_fract_x
_atom_site_fract_y
_atom_site_fract_z
Te1 Te 0.000 0.000 0.000
P1 P 0.141 0.865 0.611
P2 P 0.687 0.248 0.767
P3 P 0.965 0.338 0.495
```

4.
DFT (PBE-GGA) results for a relaxed Sr3AcAu crystal.

Output
calculated volume	231.6	Å³ per cell
crystal system	cubic
calculated formation energy	-0.196	eV/atom

CIF file:
```
data_Sr3AcAu
_symmetry_space_group_name_H-M 'P m -3 m'
_symmetry_Int_Tables_number 221
_symmetry_space_group_name_Hall '-P 4 2 3'
_cell_length_a 6.142
_cell_length_b 6.142
_cell_length_c 6.142
_cell_angle_alpha 90.00
_cell_angle_beta 90.00
_cell_angle_gamma 90.00
loop_
_atom_site_label
_atom_site_type_symbol
_atom_site_fract_x
_atom_site_fract_y
_atom_site_fract_z
Sr1 Sr 0.000 0.000 0.500
Ac1 Ac 0.500 0.500 0.500
Au1 Au 0.000 0.000 0.000
```

5.
DFT (PBE-GGA) results for a relaxed NaCdGe crystal.

Output
calculated volume	284.9	Å³ per cell
crystal system	monoclinic
calculated formation energy	-0.104	eV/atom

CIF file:
```
data_NaCdGe
_symmetry_space_group_name_H-M 'C 1 2/m 1'
_symmetry_Int_Tables_number 12
_cell_length_a 10.588
_cell_length_b 4.584
_cell_length_c 7.560
_cell_angle_alpha 90.00
_cell_angle_beta 129.07
_cell_angle_gamma 90.00
loop_
_symmetry_equiv_pos_as_xyz
'x,y,z'
'-x,-y,-z'
'-x,y,-z'
'x,-y,z'
'x+1/2,y+1/2,z'
'-x+1/2,-y+1/2,-z'
'-x+1/2,y+1/2,-z'
'x+1/2,-y+1/2,z'
loop_
_atom_site_label
_atom_site_type_symbol
_atom_site_fract_x
_atom_site_fract_y
_atom_site_fract_z
Na1 Na 0.074 0.000 0.327
Cd1 Cd 0.173 0.500 0.094
Ge1 Ge 0.138 0.500 0.692
```

6.
DFT (PBE-GGA) results for a relaxed KHg3Pd2 crystal.

Output
calculated volume	604.3	Å³ per cell
crystal system	orthorhombic
calculated formation energy	-0.236	eV/atom

CIF file:
```
data_KHg3Pd2
_symmetry_space_group_name_H-M 'C m c m'
_symmetry_Int_Tables_number 63
_symmetry_space_group_name_Hall '-C 2c 2'
_cell_length_a 11.201
_cell_length_b 9.089
_cell_length_c 5.936
_cell_angle_alpha 90.00
_cell_angle_beta 90.00
_cell_angle_gamma 90.00
loop_
_atom_site_label
_atom_site_type_symbol
_atom_site_fract_x
_atom_site_fract_y
_atom_site_fract_z
K1 K 0.000 0.146 0.250
Hg1 Hg 0.000 0.467 0.750
Hg2 Hg 0.197 0.231 0.750
Pd1 Pd 0.212 0.500 0.000
```